Below is an optimized crystal structure of KSbS3, with properties calculated at the PBE level.

Lattice parameters (Å, degrees): 5.120 5.120 5.120 90.00 90.00 90.00
Element x y z (fractional)
S1 0.000 0.500 0.000
S2 0.000 0.000 0.500
S3 0.500 0.000 0.000
K1 0.500 0.500 0.500
Sb1 0.000 0.000 0.000

Results
Energy   -3.76 eV per atom
Calculated density   3.2 g/cm3
Energy above the most stable polymorph in this dataset   289 meV per atom
Fermi-level density of states   4.1 states/eV/f.u.
ΔE_f (raw)   -0.240 eV/atom